## one
# Tm2Ga3Au5

Crystalline Tm2Ga3Au5 at its relaxed geometry (GGA-PBE, Alexandria).

The calculation puts the density of states at the Fermi level at 0.493 states/eV per atom. The calculation puts the calculated volume at 20.01 A^3/atom.

It has space group Ibam (No. 72), with a = 11.555 Å, b = 11.806 Å, c = 5.868 Å, α = 90.00°, β = 90.00° and γ = 90.00°. The inequivalent atoms are Tm at (0.133, 0.220, 0.000), Ga at (0.000, 0.500, 0.250), Ga at (0.135, 0.129, 0.500), Au at (0.000, 0.000, 0.250), Au at (0.098, 0.337, 0.500) and Au at (0.236, 0.500, 0.250).

---

## two
# Tm2Ga3Au5

Crystalline Tm2Ga3Au5 at its relaxed geometry (GGA-PBE, Alexandria).

The calculation puts the density of states at the Fermi level at 0.444 states/eV per atom. The calculation puts the calculated volume at 19.44 A^3/atom.

It has space group Cmc2_1 (No. 36), with a = 4.448 Å, b = 24.787 Å, c = 7.052 Å, α = 90.00°, β = 90.00° and γ = 90.00°. The inequivalent atoms are Tm at (0.000, 0.018, 0.000), Tm at (0.000, 0.324, 0.980), Ga at (0.000, 0.103, 0.311), Ga at (0.000, 0.275, 0.447), Ga at (0.000, 0.448, 0.194), Au at (0.000, 0.106, 0.693), Au at (0.000, 0.199, 0.167), Au at (0.000, 0.217, 0.747), Au at (0.000, 0.381, 0.491) and Au at (0.000, 0.452, 0.807).

---

We find two to be the most stable, with the next structure 44 meV per atom higher.

---

## one
# Tm6Ga2Au

Crystalline Tm6Ga2Au at its relaxed geometry (GGA-PBE, Alexandria).

The calculation puts the density of states at the Fermi level at 0.528 states/eV per atom. The calculation puts the calculated volume at 25.25 A^3/atom.

It has space group Immm (No. 71), with a = 9.456 Å, b = 9.462 Å, c = 10.160 Å, α = 90.00°, β = 90.00° and γ = 90.00°. The inequivalent atoms are Tm at (0.000, 0.206, 0.174), Tm at (0.179, 0.229, 0.500), Tm at (0.194, 0.500, 0.250), Ga at (0.000, 0.000, 0.377), Ga at (0.146, 0.000, 0.000), Au at (0.000, 0.500, 0.000) and Au at (0.000, 0.500, 0.500).

---

## two
# Tm6Ga2Au

Crystalline Tm6Ga2Au at its relaxed geometry (GGA-PBE, Alexandria).

The calculation puts the density of states at the Fermi level at 1.128 states/eV per atom. The calculation puts the calculated volume at 26.26 A^3/atom.

It has space group P2_1/c (No. 14), with a = 6.186 Å, b = 8.106 Å, c = 10.897 Å, α = 90.00°, β = 120.13° and γ = 90.00°. The inequivalent atoms are Tm at (0.076, 0.162, 0.439), Tm at (0.328, 0.689, 0.438), Tm at (0.413, 0.039, 0.276), Ga at (0.186, 0.127, 0.754) and Au at (0.000, 0.000, 0.000).

---

We find one to be the most stable, with the next structure 115 meV per atom higher.

---

## one
# TmGa3Au3

Crystalline TmGa3Au3 at its relaxed geometry (GGA-PBE, Alexandria).

The calculation puts the density of states at the Fermi level at 0.611 states/eV per atom. The calculation puts the calculated volume at 24.61 A^3/atom.

It has space group Pm-3n (No. 223), with a = 7.011 Å, b = 7.011 Å, c = 7.011 Å, α = 90.00°, β = 90.00° and γ = 90.00°. The inequivalent atoms are Tm at (0.000, 0.000, 0.000), Ga at (0.000, 0.250, 0.500) and Au at (0.000, 0.500, 0.250).

---

## two
# TmGa3Au3

Crystalline TmGa3Au3 at its relaxed geometry (GGA-PBE, Alexandria).

The calculation puts the density of states at the Fermi level at 0.382 states/eV per atom. The calculation puts the calculated volume at 22.02 A^3/atom.

It has space group R-3 (No. 148, hexagonal axes), with a = 8.0300 Å, b = 8.0300 Å, c = 16.5651 Å, α = 90.00°, β = 90.00° and γ = 120.00°. The inequivalent atoms are Tm at (0.0000, 0.0000, 0.1659), Ga at (0.9996, 0.3098, 0.4090) and Au at (0.9997, 0.3447, 0.5850).

---

We find two to be the most stable, with the next structure 405 meV per atom higher.

---

## one
# VGa2Au2

Crystalline VGa2Au2 at its relaxed geometry (GGA-PBE, Alexandria).

The calculation puts the density of states at the Fermi level at 1.083 states/eV per atom. The calculation puts the calculated volume at 18.05 A^3/atom.

It has space group P4/mbm (No. 127), with a = 7.389 Å, b = 7.389 Å, c = 3.305 Å, α = 90.00°, β = 90.00° and γ = 90.00°. The inequivalent atoms are V at (0.000, 0.000, 0.000), Ga at (0.168, 0.332, 0.500) and Au at (0.137, 0.637, 0.000).

---

## two
# VGa2Au2

Crystalline VGa2Au2 at its relaxed geometry (GGA-PBE, Alexandria).

The calculation puts the density of states at the Fermi level at 0.642 states/eV per atom. The calculation puts the calculated volume at 16.84 A^3/atom.

It has space group P4/mbm (No. 127), with a = 7.307 Å, b = 7.307 Å, c = 3.154 Å, α = 90.00°, β = 90.00° and γ = 90.00°. The inequivalent atoms are V at (0.000, 0.000, 0.000), Ga at (0.142, 0.358, 0.000) and Au at (0.160, 0.660, 0.500).

---

We find two to be the most stable, with the next structure 29 meV per atom higher.

---

## one
# VGaAu3

Crystalline VGaAu3 at its relaxed geometry (GGA-PBE, Alexandria).

The calculation puts the density of states at the Fermi level at 0.983 states/eV per atom. The calculation puts the calculated volume at 22.29 A^3/atom.

It has space group Pm-3m (No. 221), with a = 4.813 Å, b = 4.813 Å, c = 4.813 Å, α = 90.00°, β = 90.00° and γ = 90.00°. The inequivalent atoms are V at (0.000, 0.000, 0.000), Ga at (0.500, 0.500, 0.500) and Au at (0.000, 0.500, 0.500).

---

## two
# VGaAu3

Crystalline VGaAu3 at its relaxed geometry (GGA-PBE, Alexandria).

The calculation puts the density of states at the Fermi level at 0.913 states/eV per atom. The calculation puts the calculated volume at 25.40 A^3/atom.

It has space group Pm-3m (No. 221), with a = 5.027 Å, b = 5.027 Å, c = 5.027 Å, α = 90.00°, β = 90.00° and γ = 90.00°. The inequivalent atoms are V at (0.000, 0.000, 0.000), Ga at (0.500, 0.500, 0.500) and Au at (0.000, 0.000, 0.500).

---

We find one to be the most stable, with the next structure 112 meV per atom higher.

---

## one
# Ga2WAu

Crystalline Ga2WAu at its relaxed geometry (GGA-PBE, Alexandria).

The calculation puts the density of states at the Fermi level at 1.084 states/eV per atom. The calculation puts the calculated volume at 17.67 A^3/atom.

It has space group I-42d (No. 122), with a = 7.012 Å, b = 7.012 Å, c = 5.750 Å, α = 90.00°, β = 90.00° and γ = 90.00°. The inequivalent atoms are Ga at (0.242, 0.750, 0.125), W at (0.000, 0.000, 0.500) and Au at (0.000, 0.000, 0.000).

---

## two
# Ga2WAu

Crystalline Ga2WAu at its relaxed geometry (GGA-PBE, Alexandria).

The calculation puts the density of states at the Fermi level at 0.595 states/eV per atom. The calculation puts the calculated volume at 16.04 A^3/atom.

It has space group Fm-3m (No. 225), with a = 6.355 Å, b = 6.355 Å, c = 6.355 Å, α = 90.00°, β = 90.00° and γ = 90.00°. The inequivalent atoms are Ga at (0.250, 0.250, 0.250), W at (0.000, 0.000, 0.000) and Au at (0.000, 0.000, 0.500).

---

We find two to be the most stable, with the next structure 145 meV per atom higher.

---

## one
# Y2Ga5Au3

Crystalline Y2Ga5Au3 at its relaxed geometry (GGA-PBE, Alexandria).

The calculation puts the density of states at the Fermi level at 0.355 states/eV per atom. The calculation puts the calculated volume at 19.54 A^3/atom.

It has space group Cmc2_1 (No. 36), with a = 4.423 Å, b = 25.091 Å, c = 7.044 Å, α = 90.00°, β = 90.00° and γ = 90.00°. The inequivalent atoms are Y at (0.000, 0.017, 0.000), Y at (0.000, 0.326, 0.990), Ga at (0.000, 0.104, 0.662), Ga at (0.000, 0.206, 0.779), Ga at (0.000, 0.207, 0.187), Ga at (0.000, 0.382, 0.515), Ga at (0.000, 0.450, 0.823), Au at (0.000, 0.107, 0.273), Au at (0.000, 0.277, 0.482) and Au at (0.000, 0.448, 0.213).

---

## two
# Y2Ga5Au3

Crystalline Y2Ga5Au3 at its relaxed geometry (GGA-PBE, Alexandria).

The calculation puts the density of states at the Fermi level at 0.274 states/eV per atom. The calculation puts the calculated volume at 19.92 A^3/atom.

It has space group Ibam (No. 72), with a = 11.007 Å, b = 11.935 Å, c = 6.065 Å, α = 90.00°, β = 90.00° and γ = 90.00°. The inequivalent atoms are Y at (0.246, 0.124, 0.000), Ga at (0.000, 0.000, 0.250), Ga at (0.000, 0.258, 0.250), Ga at (0.142, 0.379, 0.000), Au at (0.000, 0.500, 0.250) and Au at (0.133, 0.130, 0.500).

---

We find one to be the most stable, with the next structure 17 meV per atom higher.

---

## one
# YGa3Au

Crystalline YGa3Au at its relaxed geometry (GGA-PBE, Alexandria).

The calculation puts the density of states at the Fermi level at 0.672 states/eV per atom. The calculation puts the calculated volume at 24.39 A^3/atom.

It has space group Pm-3m (No. 221), with a = 4.959 Å, b = 4.959 Å, c = 4.959 Å, α = 90.00°, β = 90.00° and γ = 90.00°. The inequivalent atoms are Y at (0.000, 0.000, 0.000), Ga at (0.000, 0.500, 0.500) and Au at (0.500, 0.500, 0.500).

---

## two
# YGa3Au

Crystalline YGa3Au at its relaxed geometry (GGA-PBE, Alexandria).

The calculation puts the density of states at the Fermi level at 0.332 states/eV per atom. The calculation puts the calculated volume at 19.83 A^3/atom.

It has space group Pnma (No. 62), with a = 8.230 Å, b = 4.397 Å, c = 10.960 Å, α = 90.00°, β = 90.00° and γ = 90.00°. The inequivalent atoms are Y at (0.207, 0.250, 0.005), Ga at (0.087, 0.250, 0.612), Ga at (0.098, 0.750, 0.831), Ga at (0.102, 0.750, 0.186) and Au at (0.090, 0.250, 0.361).

---

## three
# YGa3Au

Crystalline YGa3Au at its relaxed geometry (GGA-PBE, Alexandria).

The calculation puts the density of states at the Fermi level at 0.226 states/eV per atom. The calculation puts the calculated volume at 19.70 A^3/atom.

It has space group Cm (No. 8), with a = 5.900 Å, b = 5.906 Å, c = 6.372 Å, α = 90.00°, β = 117.46° and γ = 90.00°. The inequivalent atoms are Y at (0.000, 0.000, 0.000), Ga at (0.097, 0.500, 0.193), Ga at (0.488, 0.250, 0.475) and Au at (0.377, 0.000, 0.754).

---

We find three to be the most stable, with the next structure 57 meV per atom higher.

---

## one
# YGaAu3

Crystalline YGaAu3 at its relaxed geometry (GGA-PBE, Alexandria).

The calculation puts the density of states at the Fermi level at 0.515 states/eV per atom. The calculation puts the calculated volume at 20.02 A^3/atom.

It has space group Pnma (No. 62), with a = 9.087 Å, b = 4.763 Å, c = 9.253 Å, α = 90.00°, β = 90.00° and γ = 90.00°. The inequivalent atoms are Y at (0.236, 0.250, 0.004), Ga at (0.113, 0.250, 0.673), Au at (0.073, 0.250, 0.396), Au at (0.102, 0.750, 0.156) and Au at (0.110, 0.750, 0.844).

---

## two
# YGaAu3

Crystalline YGaAu3 at its relaxed geometry (GGA-PBE, Alexandria).

The calculation puts the density of states at the Fermi level at 0.489 states/eV per atom. The calculation puts the calculated volume at 20.12 A^3/atom.

It has space group P2_1/m (No. 11), with a = 5.521 Å, b = 5.921 Å, c = 6.204 Å, α = 90.00°, β = 97.36° and γ = 90.00°. The inequivalent atoms are Y at (0.186, 0.250, 0.183), Ga at (0.079, 0.750, 0.346), Au at (0.316, 0.002, 0.649) and Au at (0.341, 0.750, 0.043).

---

We find one to be the most stable, with the next structure 16 meV per atom higher.